(1)
DFT (PBE) results for an optimized crystal structure of LaSmNi6B2Pt2.

Results
**Calculated total energy**: -6.302 eV/atom

Cell lengths 5.1924, 5.1924, 7.1857 Å; angles 90.00, 90.00, 120.00 degrees
Closest atoms and distances in Å follow each position.
Sites, in units of the cell vectors:
1 B 0.6667 0.3333 0.5000  6 Ni 2.04
2 B 0.3333 0.6667 0.5000  6 Ni 2.04
3 La 0.0000 0.0000 0.0000  6 Pt 3.00
4 Ni 0.5000 0.0000 0.3072  2 B 2.04
5 Ni 0.0000 0.5000 0.3072  2 B 2.04
6 Ni 0.5000 0.5000 0.3072  2 B 2.04
7 Ni 0.5000 0.0000 0.6928  2 B 2.04
8 Ni 0.0000 0.5000 0.6928  2 B 2.04
9 Ni 0.5000 0.5000 0.6928  2 B 2.04
10 Pt 0.6667 0.3333 0.0000  6 Ni 2.67
11 Pt 0.3333 0.6667 0.0000  6 Ni 2.67
12 Sm 0.0000 0.0000 0.5000  12 Ni 2.94, 6 B 3.00


(2)
DFT (PBE) results for an optimized crystal structure of LuTe3PbAu.

Results
**Calculated total energy**: -4.156 eV/atom

Cell lengths 11.1965, 4.2825, 14.6365 Å; angles 90.00, 90.00, 90.00 degrees
Closest atoms and distances in Å follow each position.
Sites, in units of the cell vectors:
1 Au 0.2469 0.7500 0.2159  4 Te 2.74-2.85
2 Au 0.7469 0.7500 0.2841  4 Te 2.74-2.85
3 Au 0.2531 0.2500 0.7159  4 Te 2.74-2.85
4 Au 0.7531 0.2500 0.7841  4 Te 2.74-2.85
5 Lu 0.4784 0.2500 0.2452  6 Te 3.06-3.11, 2 Au 3.39
6 Lu 0.9784 0.2500 0.2548  6 Te 3.06-3.11, 2 Au 3.39
7 Lu 0.0216 0.7500 0.7452  6 Te 3.06-3.11, 2 Au 3.39
8 Lu 0.5216 0.7500 0.7548  6 Te 3.06-3.11, 2 Au 3.39
9 Pb 0.2286 0.2500 0.0263  7 Te 3.31-3.55, 2 Au 3.51
10 Pb 0.7286 0.2500 0.4737  7 Te 3.31-3.55, 2 Au 3.51
11 Pb 0.2714 0.7500 0.5263  7 Te 3.31-3.55, 2 Au 3.51
12 Pb 0.7714 0.7500 0.9737  7 Te 3.31-3.55, 2 Au 3.51
13 Te 0.4380 0.7500 0.0989  1 Au 2.74, 2 Lu 3.06
14 Te 0.0327 0.7500 0.1109  1 Au 2.85, 2 Lu 3.06
15 Te 0.7311 0.2500 0.1586  2 Au 2.83, 2 Lu 3.10-3.11
16 Te 0.2311 0.2500 0.3414  2 Au 2.83, 2 Lu 3.10-3.11
17 Te 0.5327 0.7500 0.3891  1 Au 2.85, 2 Lu 3.06
18 Te 0.9380 0.7500 0.4011  1 Au 2.74, 2 Lu 3.06
19 Te 0.0620 0.2500 0.5989  1 Au 2.74, 2 Lu 3.06
20 Te 0.4673 0.2500 0.6109  1 Au 2.85, 2 Lu 3.06
21 Te 0.7689 0.7500 0.6586  2 Au 2.83, 2 Lu 3.10-3.11
22 Te 0.2689 0.7500 0.8414  2 Au 2.83, 2 Lu 3.10-3.11
23 Te 0.9673 0.2500 0.8891  1 Au 2.85, 2 Lu 3.06
24 Te 0.5620 0.2500 0.9011  1 Au 2.74, 2 Lu 3.06


(3)
DFT (PBE) results for an optimized crystal structure of Fe2NiS4.

Results
**Calculated total energy**: -5.896 eV/atom

Cell lengths 6.6004, 6.6004, 9.2592 Å; angles 90.00, 90.00, 90.00 degrees
Closest atoms and distances in Å follow each position.
Sites, in units of the cell vectors:
1 Ni 0.2628 0.0000 0.2500  6 S 2.27-2.32
2 Ni 0.0000 0.2628 0.5000  6 S 2.27-2.32
3 Ni 0.7372 0.0000 0.7500  6 S 2.27-2.32
4 S 0.2547 0.4976 0.0045  3 Fe 2.10-2.28, 1 Ni 2.31
5 S 0.2582 0.9766 0.0052  2 Fe 2.10-2.27, 2 Ni 2.27-2.32
6 S 0.0234 0.7418 0.2448  2 Fe 2.10-2.27, 2 Ni 2.27-2.32
7 S 0.5024 0.7453 0.2455  3 Fe 2.10-2.28, 1 Ni 2.31
8 S 0.5024 0.2547 0.2545  3 Fe 2.10-2.28, 1 Ni 2.31
9 S 0.0234 0.2582 0.2552  2 Fe 2.10-2.27, 2 Ni 2.27-2.32
10 S 0.2582 0.0234 0.4948  2 Fe 2.10-2.27, 2 Ni 2.27-2.32
11 S 0.2547 0.5024 0.4955  3 Fe 2.10-2.28, 1 Ni 2.31
12 S 0.7453 0.5024 0.5045  3 Fe 2.10-2.28, 1 Ni 2.31
13 S 0.7418 0.0234 0.5052  2 Fe 2.10-2.27, 2 Ni 2.27-2.32
14 S 0.9766 0.2582 0.7448  2 Fe 2.10-2.27, 2 Ni 2.27-2.32
15 S 0.4976 0.2547 0.7455  3 Fe 2.10-2.28, 1 Ni 2.31
16 S 0.4976 0.7453 0.7545  3 Fe 2.10-2.28, 1 Ni 2.31
17 S 0.9766 0.7418 0.7552  2 Fe 2.10-2.27, 2 Ni 2.27-2.32
18 S 0.7418 0.9766 0.9948  2 Fe 2.10-2.27, 2 Ni 2.27-2.32
19 S 0.7453 0.4976 0.9955  3 Fe 2.10-2.28, 1 Ni 2.31
20 Fe 0.5000 0.7319 0.0000  6 S 2.24-2.28
21 Fe 0.7629 0.2371 0.1250  4 S 2.10
22 Fe 0.2681 0.5000 0.2500  6 S 2.24-2.28
23 Fe 0.7629 0.7629 0.3750  4 S 2.10
24 Fe 0.5000 0.2681 0.5000  6 S 2.24-2.28
25 Fe 0.2371 0.7629 0.6250  4 S 2.10
26 Fe 0.7319 0.5000 0.7500  6 S 2.24-2.28
27 Fe 0.2371 0.2371 0.8750  4 S 2.10
28 Ni 0.0000 0.7372 0.0000  6 S 2.27-2.32


(4)
DFT (PBE) results for an optimized crystal structure of PmAgSO.

Results
**Calculated total energy**: -6.087 eV/atom

Cell lengths 5.6463, 5.6464, 9.0059 Å; angles 90.00, 90.00, 90.00 degrees
Closest atoms and distances in Å follow each position.
Sites, in units of the cell vectors:
1 Ag 0.2499 0.2499 0.4997  4 S 2.69, 4 Ag 2.82
2 Ag 0.7501 0.2499 0.4997  4 S 2.69, 4 Ag 2.82
3 Ag 0.2499 0.7501 0.4997  4 S 2.69, 4 Ag 2.82
4 Ag 0.7501 0.7501 0.4997  4 S 2.69, 4 Ag 2.82
5 O 0.2500 0.2500 0.0003  4 Pm 2.32
6 O 0.7500 0.2500 0.0003  4 Pm 2.32
7 O 0.2500 0.7500 0.0003  4 Pm 2.32
8 O 0.7500 0.7500 0.0003  4 Pm 2.32
9 Pm 0.0000 0.0000 0.1315  4 O 2.32
10 Pm 0.5000 0.5000 0.1316  4 O 2.32
11 Pm 0.0000 0.5000 0.8689  4 O 2.32
12 Pm 0.5000 0.0000 0.8689  4 O 2.32
13 S 0.0000 0.5000 0.2994  4 Ag 2.69
14 S 0.5000 0.0000 0.2994  4 Ag 2.69
15 S 0.5000 0.5000 0.7001  4 Ag 2.69
16 S 0.0000 0.0000 0.7001  4 Ag 2.69